[1]
Crystalline Sr3Zn3Ni at its relaxed geometry. Source: the Alexandria database, functional PBE.

abc: 6.265 6.265 15.774
angles: 107.18 107.18 40.66
Element x y z (fractional)
Sr1 0.023 0.023 0.391
Sr2 0.107 0.107 0.919
Sr3 0.251 0.251 0.243
Sr4 0.749 0.749 0.757
Sr5 0.893 0.893 0.081
Sr6 0.977 0.977 0.609
Zn1 0.311 0.311 0.462
Zn2 0.402 0.402 0.919
Zn3 0.446 0.446 0.757
Zn4 0.554 0.554 0.243
Zn5 0.598 0.598 0.081
Zn6 0.689 0.689 0.538
Ni1 0.274 0.274 0.612
Ni2 0.726 0.726 0.388

Results
formation energy = -187 meV/atom

---

[2]
Crystalline Cs5RbF at its relaxed geometry. Source: the Alexandria database, functional PBE.

abc: 9.589 9.589 16.587
angles: 113.22 113.22 61.05
Element x y z (fractional)
Cs1 0.142 0.210 0.575
Cs2 0.210 0.142 0.075
Cs3 0.249 0.751 0.750
Cs4 0.295 0.353 0.427
Cs5 0.353 0.295 0.927
Cs6 0.647 0.705 0.073
Cs7 0.705 0.647 0.573
Cs8 0.751 0.249 0.250
Cs9 0.790 0.858 0.925
Cs10 0.858 0.790 0.425
Rb1 0.251 0.749 0.250
Rb2 0.749 0.251 0.750
F1 0.000 0.500 0.500
F2 0.500 0.000 0.000

Results
formation energy from raw total energies = -474 kJ/mol of formula units

---

[3]
Crystalline ScSe2Cl at its relaxed geometry. Source: the Alexandria database, functional PBE.

abc: 5.088 3.955 5.280
angles: 90.00 106.32 90.00
Element x y z (fractional)
Sc1 0.000 0.000 0.000
Se1 0.161 0.500 0.374
Se2 0.839 0.500 0.626
Cl1 0.500 0.000 0.000

Results
formation energy from raw total energies = -488 kJ/mol of formula units

---

[4]
Crystalline TmCu6Pd6 at its relaxed geometry. Source: the Alexandria database, functional PBE.

abc: 6.657 6.657 6.657
angles: 136.02 99.36 96.76
Element x y z (fractional)
Tm1 0.000 0.000 0.000
Cu1 0.000 0.000 0.500
Cu2 0.000 0.500 0.000
Cu3 0.239 0.739 0.500
Cu4 0.500 0.000 0.000
Cu5 0.500 0.500 0.500
Cu6 0.761 0.261 0.500
Pd1 0.185 0.500 0.685
Pd2 0.341 0.000 0.341
Pd3 0.347 0.347 0.000
Pd4 0.653 0.653 0.000
Pd5 0.659 0.000 0.659
Pd6 0.815 0.500 0.315

Results
formation energy = -339 meV/atom

---

[5]
Crystalline Ca3VAg at its relaxed geometry. Source: the Alexandria database, functional PBE.

abc: 5.652 5.652 5.652
angles: 90.00 90.00 90.00
Element x y z (fractional)
Ca1 0.000 0.000 0.500
Ca2 0.000 0.500 0.000
Ca3 0.500 0.000 0.000
V1 0.500 0.500 0.500
Ag1 0.000 0.000 0.000

Results
formation energy = 533 meV/atom

---

[6]
Crystalline Ba2ZnAu at its relaxed geometry. Source: the Alexandria database, functional PBE.

abc: 6.767 6.767 6.767
angles: 144.61 132.35 60.74
Element x y z (fractional)
Ba1 0.000 0.000 0.000
Ba2 0.700 0.200 0.500
Zn1 0.286 0.786 0.500
Au1 0.430 0.430 0.000

Results
formation energy = -338 meV/atom

---

[7]
Crystalline TbCePm2Y5 at its relaxed geometry. Source: the Alexandria database, functional PBE.

abc: 9.936 9.936 9.936
angles: 128.46 128.46 75.88
Element x y z (fractional)
Tb1 0.250 0.250 0.000
Tb2 0.750 0.750 0.000
Ce1 0.250 0.750 0.500
Ce2 0.750 0.250 0.500
Pm1 0.120 0.620 0.740
Pm2 0.380 0.120 0.500
Pm3 0.620 0.880 0.500
Pm4 0.880 0.380 0.260
Y1 0.000 0.000 0.000
Y2 0.063 0.158 0.500
Y3 0.158 0.658 0.095
Y4 0.342 0.437 0.500
Y5 0.437 0.937 0.095
Y6 0.500 0.500 0.000
Y7 0.563 0.063 0.905
Y8 0.658 0.563 0.500
Y9 0.842 0.342 0.905
Y10 0.937 0.842 0.500

Results
formation energy = 259 meV/atom

---

[8]
Crystalline DyZn4Fe at its relaxed geometry. Source: the Alexandria database, functional PBE.

abc: 5.132 5.132 5.132
angles: 60.00 60.00 60.00
Element x y z (fractional)
Dy1 0.000 0.000 0.000
Zn1 0.129 0.624 0.624
Zn2 0.624 0.129 0.624
Zn3 0.624 0.624 0.129
Zn4 0.624 0.624 0.624
Fe1 0.250 0.250 0.250

Results
formation energy = -108 meV/atom